# 1
First-principles (PBE-GGA) data for a geometry-optimized K2Hf2Cd structure, as listed in the Alexandria database.

Cell: 3.9512 3.9512 12.2263 Å, 80.70 80.70 90.00°
Fractional coordinates of all 5 atoms:
Hf 0.2500 0.7500 0.5000
Hf 0.7500 0.2500 0.5000
Cd 0.0000 0.0000 0.0000
K 0.3934 0.3934 0.2133
K 0.6066 0.6066 0.7867

distance to the lowest polymorph of the same formula = 0.0000 eV per atom
density of states at the Fermi level = 0.749 states/eV/atom
energy = -3.95 eV per atom
E_form = 650 meV per atom



# 2
First-principles (PBE-GGA) data for a geometry-optimized KHfCd3 structure, as listed in the Alexandria database.

Cell: 5.7145 5.7145 5.7145 Å, 90.00 90.00 90.00°
Last column: magnetic moment on the atom in μB.
Fractional coordinates of all 5 atoms:
Cd 0.0000 0.0000 0.5000  0.02
Cd 0.5000 0.0000 0.0000  0.06
Cd 0.0000 0.5000 0.0000  0.04
Hf 0.0000 0.0000 0.0000  0.55
K 0.5000 0.5000 0.5000  0.00

distance to the lowest polymorph of the same formula = 0.0000 eV per atom
density of states at the Fermi level = 1.355 states/eV/atom
energy = -2.25 eV per atom
E_form = 511 meV per atom



# 3
First-principles (PBE-GGA) data for a geometry-optimized K2Hf2Cd structure, as listed in the Alexandria database.

Cell: 11.2236 11.2236 3.0181 Å, 90.00 90.00 90.00°
Last column: magnetic moment on the atom in μB.
Fractional coordinates of all 10 atoms:
Cd 0.5000 0.5000 0.0000  0.00
Cd 0.0000 0.0000 0.0000  0.00
K 0.7052 0.2052 0.0000  0.00
K 0.7948 0.7052 0.0000  0.00
K 0.2948 0.7948 0.0000  0.00
K 0.2052 0.2948 0.0000  0.00
Hf 0.4159 0.0841 0.5000  0.15
Hf 0.0841 0.5841 0.5000  0.17
Hf 0.5841 0.9159 0.5000  0.15
Hf 0.9159 0.4159 0.5000  0.17

distance to the lowest polymorph of the same formula = 0.4609 eV per atom
density of states at the Fermi level = 1.667 states/eV/atom
energy = -3.49 eV per atom
E_form = 1111 meV per atom



# 4
First-principles (PBE-GGA) data for a geometry-optimized KHf3Cd structure, as listed in the Alexandria database.

Cell: 4.9665 4.9665 4.9665 Å, 90.00 90.00 90.00°
Last column: magnetic moment on the atom in μB.
Fractional coordinates of all 5 atoms:
Hf 0.0000 0.5000 0.0000  0.26
Hf 0.0000 0.0000 0.5000  0.21
Hf 0.5000 0.0000 0.0000  0.28
K 0.0000 0.0000 0.0000  0.06
Cd 0.5000 0.5000 0.5000  0.00

distance to the lowest polymorph of the same formula = 0.6365 eV per atom
density of states at the Fermi level = 1.505 states/eV/atom
energy = -4.30 eV per atom
E_form = 2076 meV per atom



# 5
First-principles (PBE-GGA) data for a geometry-optimized KHf3Cd structure, as listed in the Alexandria database.

Cell: 5.3823 5.3823 5.3823 Å, 90.00 90.00 90.00°
Last column: magnetic moment on the atom in μB.
Fractional coordinates of all 5 atoms:
Hf 0.0000 0.0000 0.5000  0.17
Hf 0.0000 0.5000 0.0000  0.15
Hf 0.5000 0.0000 0.0000  0.11
K 0.5000 0.5000 0.5000  0.01
Cd 0.0000 0.0000 0.0000  0.02

distance to the lowest polymorph of the same formula = 0.0000 eV per atom
density of states at the Fermi level = 2.104 states/eV/atom
energy = -4.94 eV per atom
E_form = 1439 meV per atom



# 6
First-principles (PBE-GGA) data for a geometry-optimized KHfCdMo2 structure, as listed in the Alexandria database.

Cell: 5.1568 5.1568 5.1354 Å, 90.00 90.00 90.00°
Last column: magnetic moment on the atom in μB.
Fractional coordinates of all 5 atoms:
Cd 0.0000 0.0000 0.0000  0.04
Hf 0.5000 0.5000 0.5000  -0.34
Mo 0.5000 0.0000 0.0000  1.87
Mo 0.0000 0.5000 0.0000  1.87
K 0.0000 0.0000 0.5000  0.00

distance to the lowest polymorph of the same formula = 0.0000 eV per atom
density of states at the Fermi level = 1.273 states/eV/atom
energy = -4.49 eV per atom
E_form = 2234 meV per atom



# 7
First-principles (PBE-GGA) data for a geometry-optimized KHfCdMo2 structure, as listed in the Alexandria database.

Cell: 4.5869 4.7794 4.5869 Å, 90.00 90.00 90.00°
Fractional coordinates of all 5 atoms:
K 0.0000 0.0000 0.0000
Cd 0.5000 0.5000 0.5000
Hf 0.0000 0.5000 0.0000
Mo 0.0000 0.0000 0.5000
Mo 0.5000 0.0000 0.0000

distance to the lowest polymorph of the same formula = 0.3322 eV per atom
density of states at the Fermi level = 0.866 states/eV/atom
energy = -4.16 eV per atom
E_form = 2566 meV per atom



# 8
First-principles (PBE-GGA) data for a geometry-optimized KHf2CdO structure, as listed in the Alexandria database.

Cell: 5.6758 4.2246 5.6758 Å, 90.00 90.00 90.00°
Fractional coordinates of all 5 atoms:
Cd 0.0000 0.0000 0.0000
O 0.0000 0.5000 0.0000
Hf 0.5000 0.0000 0.0000
Hf 0.0000 0.0000 0.5000
K 0.5000 0.5000 0.5000

density of states at the Fermi level = 1.132 states/eV/atom
energy = -4.10 eV per atom



# 9
First-principles (PBE-GGA) data for a geometry-optimized KHfCd2O structure, as listed in the Alexandria database.

Cell: 6.0641 6.0641 3.9950 Å, 90.00 90.00 90.00°
Fractional coordinates of all 5 atoms:
Cd 0.0000 0.5000 0.0000
Cd 0.5000 0.0000 0.0000
K 0.5000 0.5000 0.5000
O 0.0000 0.0000 0.5000
Hf 0.0000 0.0000 0.0000

density of states at the Fermi level = 0.592 states/eV/atom
energy = -4.23 eV per atom



# 10
First-principles (PBE-GGA) data for a geometry-optimized KHfCdO2 structure, as listed in the Alexandria database.

Cell: 4.5226 5.5475 4.5226 Å, 90.00 90.00 90.00°
Last column: magnetic moment on the atom in μB.
Fractional coordinates of all 5 atoms:
Hf 0.0000 0.5000 0.0000  0.31
O 0.5000 0.0000 0.0000  -0.54
O 0.0000 0.0000 0.5000  -0.81
Cd 0.5000 0.5000 0.5000  0.02
K 0.0000 0.0000 0.0000  -0.05

density of states at the Fermi level = 0.968 states/eV/atom
energy = -3.23 eV per atom



# 11
First-principles (PBE-GGA) data for a geometry-optimized KHfCd2Os structure, as listed in the Alexandria database.

Cell: 5.1132 4.7330 5.1132 Å, 90.00 90.00 90.00°
Fractional coordinates of all 5 atoms:
Hf 0.5000 0.5000 0.5000
Cd 0.0000 0.0000 0.5000
Cd 0.5000 0.0000 0.0000
K 0.0000 0.0000 0.0000
Os 0.0000 0.5000 0.0000

density of states at the Fermi level = 1.069 states/eV/atom
energy = -2.69 eV per atom
E_form = 2129 meV per atom



# 12
First-principles (PBE-GGA) data for a geometry-optimized KHfCd2Pd structure, as listed in the Alexandria database.

Cell: 5.3497 5.0022 5.3497 Å, 90.00 90.00 90.00°
Fractional coordinates of all 5 atoms:
Cd 0.0000 0.0000 0.5000
Cd 0.5000 0.0000 0.0000
Hf 0.0000 0.5000 0.0000
K 0.5000 0.5000 0.5000
Pd 0.0000 0.0000 0.0000

density of states at the Fermi level = 0.641 states/eV/atom
energy = -3.42 eV per atom
E_form = 197 meV per atom



# 13
First-principles (PBE-GGA) data for a geometry-optimized K2Hf3CdS8 structure, as listed in the Alexandria database.

Cell: 7.5084 7.5084 9.0503 Å, 65.49 65.49 60.00°
Fractional coordinates of all 14 atoms:
Hf 0.4925 0.9861 0.0290
Hf 0.9861 0.4925 0.0290
Hf 0.4925 0.4925 0.0290
K 0.4878 0.4878 0.5367
K 0.1384 0.1384 0.5847
S 0.2654 0.2654 0.2039
S 0.7496 0.7496 0.2160
S 0.7496 0.2847 0.2160
S 0.7178 0.7178 0.8467
S 0.7019 0.2231 0.8518
S 0.2231 0.2231 0.8518
S 0.2847 0.7496 0.2160
S 0.2231 0.7019 0.8518
Cd 0.9802 0.9802 0.0594

energy = -6.12 eV per atom



# 14
First-principles (PBE-GGA) data for a geometry-optimized KHf2CdTc structure, as listed in the Alexandria database.

Cell: 5.0030 5.6080 5.0030 Å, 90.00 90.00 90.00°
Fractional coordinates of all 5 atoms:
K 0.5000 0.5000 0.5000
Hf 0.0000 0.0000 0.5000
Hf 0.5000 0.0000 0.0000
Cd 0.0000 0.5000 0.0000
Tc 0.0000 0.0000 0.0000

density of states at the Fermi level = 0.726 states/eV/atom
energy = -5.98 eV per atom
E_form = 476 meV per atom



# 15
First-principles (PBE-GGA) data for a geometry-optimized K2HfCdTe4 structure, as listed in the Alexandria database.

Cell: 4.3078 7.8211 8.5520 Å, 108.49 90.00 90.00°
Fractional coordinates of all 8 atoms:
K 0.0000 0.5000 0.5000
K 0.5000 0.0000 0.5000
Te 0.0000 0.7112 0.2051
Te 0.5000 0.2437 0.1886
Te 0.0000 0.2888 0.7949
Te 0.5000 0.7563 0.8114
Cd 0.0000 0.0000 0.0000
Hf 0.5000 0.5000 0.0000

density of states at the Fermi level = 0.019 states/eV/atom
energy = -4.01 eV per atom



# 16
First-principles (PBE-GGA) data for a geometry-optimized La3HfCd structure, as listed in the Alexandria database.

Cell: 5.7650 5.7650 5.7650 Å, 90.00 90.00 90.00°
Fractional coordinates of all 5 atoms:
La 0.0000 0.5000 0.0000
La 0.0000 0.0000 0.5000
La 0.5000 0.0000 0.0000
Hf 0.0000 0.0000 0.0000
Cd 0.5000 0.5000 0.5000

distance to the lowest polymorph of the same formula = 0.0000 eV per atom
density of states at the Fermi level = 1.253 states/eV/atom
energy = -4.66 eV per atom
E_form = 474 meV per atom



# 17
First-principles (PBE-GGA) data for a geometry-optimized La2Hf2Cd structure, as listed in the Alexandria database.

Cell: 7.6653 7.6653 4.8815 Å, 90.00 90.00 90.00°
Fractional coordinates of all 10 atoms:
La 0.6622 0.8378 0.5000
La 0.1622 0.6622 0.5000
La 0.8378 0.3378 0.5000
La 0.3378 0.1622 0.5000
Hf 0.3627 0.8627 0.0000
Hf 0.1373 0.3627 0.0000
Hf 0.6373 0.1373 0.0000
Hf 0.8627 0.6373 0.0000
Cd 0.5000 0.5000 0.0000
Cd 0.0000 0.0000 0.0000

density of states at the Fermi level = 1.229 states/eV/atom
energy = -5.94 eV per atom
E_form = 198 meV per atom



# 18
First-principles (PBE-GGA) data for a geometry-optimized LaHfCd2 structure, as listed in the Alexandria database.

Cell: 8.5436 8.5436 6.7546 Å, 50.77 50.77 90.00°
Fractional coordinates of all 8 atoms:
Cd 0.3750 0.3367 0.7500
Cd 0.8750 0.9133 0.7500
Cd 0.6633 0.1250 0.2500
Cd 0.0867 0.6250 0.2500
Hf 0.0000 0.0000 0.0000
Hf 0.7500 0.2500 0.5000
La 0.5000 0.5000 0.0000
La 0.2500 0.7500 0.5000

distance to the lowest polymorph of the same formula = 0.2694 eV per atom
density of states at the Fermi level = 1.098 states/eV/atom
energy = -3.90 eV per atom
E_form = 277 meV per atom



# 19
First-principles (PBE-GGA) data for a geometry-optimized LaHf3Cd structure, as listed in the Alexandria database.

Cell: 5.2897 5.2897 5.2897 Å, 90.00 90.00 90.00°
Fractional coordinates of all 5 atoms:
Hf 0.0000 0.5000 0.0000
Hf 0.5000 0.0000 0.0000
Hf 0.0000 0.0000 0.5000
Cd 0.0000 0.0000 0.0000
La 0.5000 0.5000 0.5000

distance to the lowest polymorph of the same formula = 0.0000 eV per atom
density of states at the Fermi level = 2.552 states/eV/atom
energy = -6.13 eV per atom
E_form = 1013 meV per atom



# 20
First-principles (PBE-GGA) data for a geometry-optimized LaHf3Cd structure, as listed in the Alexandria database.

Cell: 5.1641 5.1641 5.1641 Å, 90.00 90.00 90.00°
Fractional coordinates of all 5 atoms:
La 0.0000 0.0000 0.0000
Cd 0.5000 0.5000 0.5000
Hf 0.0000 0.0000 0.5000
Hf 0.0000 0.5000 0.0000
Hf 0.5000 0.0000 0.0000

distance to the lowest polymorph of the same formula = 0.4684 eV per atom
density of states at the Fermi level = 2.254 states/eV/atom
energy = -5.66 eV per atom
E_form = 1482 meV per atom



no.,total magnetic moment (μB per formula unit)
1,0.00
2,1.20
3,0.57
4,1.18
5,0.85
6,4.07
7,0.00
8,0.00
9,0.00
10,1.07
11,0.00
12,0.00
13,0.00
14,0.00
15,0.00
16,0.00
17,0.00
18,0.00
19,0.01
20,0.00